(1)
The following is a GGA-PBE calculation of a geometry-optimized NaAcPr2Tl4 structure, from Alexandria via LeMat-Bulk.

Calculated values
The density comes out at 8960 kg/m3. The value obtained for the formation energy is -29.7 kJ per mole of atoms. As for the symmetry: R-3m (166).

Unit cell a=5.533 b=5.533 c=9.957 alpha=73.87 beta=73.87 gamma=60.00
Sites, in units of the cell vectors:
Pr  0.758  0.758  0.726
Ac  0.000  0.000  0.000
Pr  0.242  0.242  0.274
Tl  0.379  0.379  0.863
Tl  0.126  0.126  0.621
Na  0.500  0.500  0.500
Tl  0.874  0.874  0.379
Tl  0.621  0.621  0.137

***

(2)
The following is a GGA-PBE calculation of a geometry-optimized KUPb2Se6 structure, from Alexandria via LeMat-Bulk.

Calculated values
The density comes out at 5698 kg/m3. As for the symmetry: P2_1/c (14). The value obtained for the raw formation energy is -0.74 eV per atom.

Unit cell a=7.266 b=8.697 c=10.760 alpha=90.00 beta=87.26 gamma=90.00
Sites, in units of the cell vectors:
Se  0.355  0.760  0.385
Se  0.314  0.668  0.037
Se  0.145  0.260  0.115
Pb  0.490  0.437  0.189
U  0.000  0.500  0.000
K  0.000  0.500  0.500
Se  0.686  0.332  0.963
Pb  0.510  0.563  0.811
Se  0.143  0.393  0.785
Pb  0.010  0.937  0.311
Pb  0.990  0.063  0.689
Se  0.855  0.740  0.885
U  0.500  0.000  0.500
K  0.500  0.000  0.000
Se  0.357  0.893  0.715
Se  0.645  0.240  0.615
Se  0.643  0.107  0.285
Se  0.186  0.168  0.463
Se  0.857  0.607  0.215
Se  0.814  0.832  0.537